No. 1
An optimized crystal structure of CsNbPbSe4. Source: the Alexandria database, functional GGA-PBE.

Results
Raw formation energy = -845 meV per atom
Space-group type = P2_1/m (11)

Cell lengths 7.2468, 7.4620, 9.8130 Å; angles 90.00, 107.16, 90.00 degrees
Closest atoms and distances in Å follow each position.
Atoms (fractional coordinates):
Cs (0.2381, 0.2500, 0.4347)  8 Se 3.65-3.95
Cs (0.7619, 0.7500, 0.5653)  8 Se 3.65-3.95
Nb (0.2876, 0.7500, 0.1720)  4 Se 2.40-2.43
Nb (0.7124, 0.2500, 0.8280)  4 Se 2.40-2.43
Pb (0.2574, 0.2500, 0.9394)  6 Se 3.07-3.27
Pb (0.7426, 0.7500, 0.0606)  6 Se 3.07-3.27
Se (0.0796, 0.7500, 0.9312)  1 Nb 2.40
Se (0.0905, 0.7500, 0.3337)  1 Nb 2.43
Se (0.4953, 0.5050, 0.7931)  1 Nb 2.43
Se (0.4953, 0.9950, 0.7931)  1 Nb 2.43
Se (0.5047, 0.0050, 0.2069)  1 Nb 2.43
Se (0.5047, 0.4950, 0.2069)  1 Nb 2.43
Se (0.9095, 0.2500, 0.6663)  1 Nb 2.43
Se (0.9204, 0.2500, 0.0688)  1 Nb 2.40

No. 2
An optimized crystal structure of CsNbPd3. Source: the Alexandria database, functional GGA-PBE.

Results
E above lowest polymorph = 1431 meV/atom
Formation enthalpy at 0 K = 2.06 eV per atom
Space-group type = Pm-3m (221)

Cell lengths 5.1236, 5.1236, 5.1236 Å; angles 90.00, 90.00, 90.00 degrees
Closest atoms and distances in Å follow each position.
Atoms (fractional coordinates):
Cs (0.0000, 0.0000, 0.0000)  6 Pd 2.56
Nb (0.5000, 0.5000, 0.5000)  12 Pd 3.62
Pd (0.0000, 0.0000, 0.5000)  2 Cs 2.56
Pd (0.0000, 0.5000, 0.0000)  2 Cs 2.56
Pd (0.5000, 0.0000, 0.0000)  2 Cs 2.56

No. 3
An optimized crystal structure of CsNbPd3. Source: the Alexandria database, functional GGA-PBE.

Results
E above lowest polymorph = 0 meV/atom
Formation enthalpy at 0 K = 0.63 eV per atom
Space-group type = Pm-3m (221)

Cell lengths 5.0947, 5.0947, 5.0947 Å; angles 90.00, 90.00, 90.00 degrees
Closest atoms and distances in Å follow each position.
Atoms (fractional coordinates):
Cs (0.0000, 0.0000, 0.0000)  12 Pd 3.60
Nb (0.5000, 0.5000, 0.5000)  6 Pd 2.55
Pd (0.0000, 0.5000, 0.5000)  2 Nb 2.55
Pd (0.5000, 0.0000, 0.5000)  2 Nb 2.55
Pd (0.5000, 0.5000, 0.0000)  2 Nb 2.55

No. 4
An optimized crystal structure of CsNb3Pd. Source: the Alexandria database, functional GGA-PBE.

Results
E above lowest polymorph = 0 meV/atom
Formation enthalpy at 0 K = 1.62 eV per atom
Space-group type = Pm-3m (221)

Cell lengths 5.0800, 5.0800, 5.0800 Å; angles 90.00, 90.00, 90.00 degrees
Closest atoms and distances in Å follow each position.
Atoms (fractional coordinates):
Cs (0.0000, 0.0000, 0.0000)  12 Nb 3.59
Nb (0.0000, 0.5000, 0.5000)  2 Pd 2.54
Nb (0.5000, 0.0000, 0.5000)  2 Pd 2.54
Nb (0.5000, 0.5000, 0.0000)  2 Pd 2.54
Pd (0.5000, 0.5000, 0.5000)  6 Nb 2.54

No. 5
An optimized crystal structure of CsNb2Pd. Source: the Alexandria database, functional GGA-PBE.

Results
E above lowest polymorph = 44 meV/atom
Formation enthalpy at 0 K = 1.29 eV per atom
Space-group type = I-42d (122)

Cell lengths 10.9954, 10.9954, 10.9954 Å; angles 156.46, 156.46, 33.54 degrees
Closest atoms and distances in Å follow each position.
Atoms (fractional coordinates):
Cs (0.0000, 0.0000, 0.0000)  4 Pd 3.17, 4 Nb 3.34
Cs (0.7500, 0.2500, 0.5000)  4 Pd 3.17, 4 Nb 3.34
Nb (0.2590, 0.6250, 0.1340)  2 Nb 2.47
Nb (0.3750, 0.5090, 0.6340)  2 Nb 2.47
Nb (0.4910, 0.1250, 0.8660)  2 Nb 2.47
Nb (0.8750, 0.7410, 0.3660)  2 Nb 2.47
Pd (0.2500, 0.7500, 0.5000)  4 Nb 2.91, 4 Cs 3.17
Pd (0.5000, 0.5000, 0.0000)  4 Nb 2.91, 4 Cs 3.17

No. 6
An optimized crystal structure of CsNb2Pd. Source: the Alexandria database, functional GGA-PBE.

Results
E above lowest polymorph = 0 meV/atom
Formation enthalpy at 0 K = 1.24 eV per atom
Space-group type = Fm-3m (225)

Cell lengths 4.8175, 4.8175, 4.8175 Å; angles 60.00, 60.00, 60.00 degrees
Closest atoms and distances in Å follow each position.
Atoms (fractional coordinates):
Cs (0.0000, 0.0000, 0.0000)  8 Nb 2.95
Nb (0.2500, 0.2500, 0.2500)  4 Pd 2.95, 4 Cs 2.95
Nb (0.7500, 0.7500, 0.7500)  4 Pd 2.95, 4 Cs 2.95
Pd (0.5000, 0.5000, 0.5000)  8 Nb 2.95

No. 7
An optimized crystal structure of CsNb3Pd. Source: the Alexandria database, functional GGA-PBE.

Results
E above lowest polymorph = 1105 meV/atom
Formation enthalpy at 0 K = 2.73 eV per atom
Space-group type = Pm-3m (221)

Cell lengths 4.9952, 4.9952, 4.9952 Å; angles 90.00, 90.00, 90.00 degrees
Closest atoms and distances in Å follow each position.
Atoms (fractional coordinates):
Cs (0.0000, 0.0000, 0.0000)  6 Nb 2.50
Nb (0.0000, 0.0000, 0.5000)  2 Cs 2.50
Nb (0.0000, 0.5000, 0.0000)  2 Cs 2.50
Nb (0.5000, 0.0000, 0.0000)  2 Cs 2.50
Pd (0.5000, 0.5000, 0.5000)  12 Nb 3.53

No. 8
An optimized crystal structure of CsRbNb2Pd. Source: the Alexandria database, functional GGA-PBE.

Results
Formation enthalpy at 0 K = 1.21 eV per atom
Space-group type = P4/mmm (123)

Cell lengths 5.1383, 5.1383, 6.6402 Å; angles 90.00, 90.00, 90.00 degrees
Closest atoms and distances in Å follow each position.
Atoms (fractional coordinates):
Cs (0.0000, 0.0000, 0.0000)  4 Rb 3.63
Rb (0.5000, 0.5000, 0.0000)  2 Pd 3.32, 4 Cs 3.63
Nb (0.0000, 0.5000, 0.5000)  2 Pd 2.57
Nb (0.5000, 0.0000, 0.5000)  2 Pd 2.57
Pd (0.5000, 0.5000, 0.5000)  4 Nb 2.57

No. 9
An optimized crystal structure of CsNbPdS2. Source: the Alexandria database, functional GGA-PBE.

Results
Raw formation energy = -436 meV per atom
Space-group type = P4/mmm (123)

Cell lengths 4.8969, 4.8969, 5.2368 Å; angles 90.00, 90.00, 90.00 degrees
Closest atoms and distances in Å follow each position.
Atoms (fractional coordinates):
Cs (0.0000, 0.0000, 0.0000)  4 Pd 3.46, 8 S 3.58
Nb (0.5000, 0.5000, 0.5000)  4 S 2.45, 2 Pd 2.62
Pd (0.5000, 0.5000, 0.0000)  2 Nb 2.62
S (0.0000, 0.5000, 0.5000)  2 Nb 2.45
S (0.5000, 0.0000, 0.5000)  2 Nb 2.45

No. 10
An optimized crystal structure of CsSrNb2Pd. Source: the Alexandria database, functional GGA-PBE.

Results
Formation enthalpy at 0 K = 1.24 eV per atom
Space-group type = P4/mmm (123)

Cell lengths 5.0397, 5.0397, 6.3237 Å; angles 90.00, 90.00, 90.00 degrees
Closest atoms and distances in Å follow each position.
Atoms (fractional coordinates):
Cs (0.0000, 0.0000, 0.0000)  2 Pd 3.16
Sr (0.5000, 0.5000, 0.0000)  4 Cs 3.56
Nb (0.0000, 0.5000, 0.5000)  2 Pd 2.52
Nb (0.5000, 0.0000, 0.5000)  2 Pd 2.52
Pd (0.0000, 0.0000, 0.5000)  4 Nb 2.52

No. 11
An optimized crystal structure of CsSrNbPd2. Source: the Alexandria database, functional GGA-PBE.

Results
Formation enthalpy at 0 K = 1.67 eV per atom
Space-group type = P4/mmm (123)

Cell lengths 5.2649, 5.2649, 5.9431 Å; angles 90.00, 90.00, 90.00 degrees
Closest atoms and distances in Å follow each position.
Atoms (fractional coordinates):
Cs (0.0000, 0.0000, 0.0000)  4 Pd 2.63
Sr (0.0000, 0.0000, 0.5000)  2 Cs 2.97
Nb (0.5000, 0.5000, 0.5000)  4 Sr 3.72, 8 Pd 3.97
Pd (0.0000, 0.5000, 0.0000)  2 Cs 2.63
Pd (0.5000, 0.0000, 0.0000)  2 Cs 2.63

No. 12
An optimized crystal structure of Cs4Pm3NbS8. Source: the Alexandria database, functional GGA-PBE.

Results
Raw formation energy = -1555 meV per atom
Space-group type = R-3m (166)

Cell lengths 9.3591, 9.3591, 9.3591 Å; angles 52.11, 52.11, 52.11 degrees
Closest atoms and distances in Å follow each position.
Atoms (fractional coordinates):
Cs (0.0000, 0.0000, 0.0000)  6 S 3.61
Cs (0.0000, 0.5000, 0.5000)  6 S 3.45-3.46
Cs (0.5000, 0.0000, 0.5000)  6 S 3.45-3.46
Cs (0.5000, 0.5000, 0.0000)  6 S 3.45-3.46
Pm (0.0000, 0.0000, 0.5000)  6 S 2.82-2.85
Pm (0.0000, 0.5000, 0.0000)  6 S 2.82-2.85
Pm (0.5000, 0.0000, 0.0000)  6 S 2.82-2.85
Nb (0.5000, 0.5000, 0.5000)  6 S 2.65
S (0.2297, 0.2297, 0.2297)  3 Pm 2.82
S (0.2483, 0.7160, 0.7160)  1 Nb 2.65, 2 Pm 2.85
S (0.2840, 0.2840, 0.7517)  1 Nb 2.65, 2 Pm 2.85
S (0.2840, 0.7517, 0.2840)  1 Nb 2.65, 2 Pm 2.85
S (0.7160, 0.2483, 0.7160)  1 Nb 2.65, 2 Pm 2.85
S (0.7160, 0.7160, 0.2483)  1 Nb 2.65, 2 Pm 2.85
S (0.7517, 0.2840, 0.2840)  1 Nb 2.65, 2 Pm 2.85
S (0.7703, 0.7703, 0.7703)  3 Pm 2.82

These records have spin magnetization values of 0.00 0.54 0.03 1.82 0.00 0.00 0.00 4.66 0.00 3.23 4.07 2.00 μB/cell, in the order they appear.